Below is a relaxed KLi2SeBr crystal, with properties calculated at the PBE level. Values from VASP.

Computed properties:
theoretical density	2.31	g cm⁻³
raw total energy	-0.120	Ha/atom

```
&SYSTEM
  ibrav = 0, nat = 5, ntyp = 4
/
ATOMIC_SPECIES
Br 79.90 Br.upf
Li 6.94 Li.upf
Se 78.96 Se.upf
K 39.10 K.upf
CELL_PARAMETERS angstrom
-4.327 1.733 1.212
-1.130 -4.228 2.011
2.435 2.075 5.730
ATOMIC_POSITIONS crystal
Br 0.500 0.500 0.500
Li 0.500 0.000 0.000
Li 0.000 0.500 0.000
Se 0.000 0.000 0.000
K 0.000 0.000 0.500
```

Below is a relaxed KLiSeBr2 crystal, with properties calculated at the PBE level. Values from VASP.

Computed properties:
distance to the lowest polymorph of the same formula	0	meV per atom
theoretical density	3.23	g cm⁻³
raw total energy	-0.103	Ha/atom

```
&SYSTEM
  ibrav = 0, nat = 5, ntyp = 4
/
ATOMIC_SPECIES
K 39.10 K.upf
Br 79.90 Br.upf
Li 6.94 Li.upf
Se 78.96 Se.upf
CELL_PARAMETERS angstrom
5.442 0.000 0.000
0.000 5.442 0.000
0.000 0.000 4.947
ATOMIC_POSITIONS crystal
K 0.500 0.500 0.500
Br 0.500 0.000 0.000
Br 0.000 0.500 0.000
Li 0.000 0.000 0.000
Se 0.000 0.000 0.500
```

Energy relative to the elements, uncorrected, record by record: -1.248 -0.828 eV/atom